# 1
Material: LiTh4Sc3S8
Method: DFT, PBE-GGA
State: relaxed

Results
- Uncorrected formation energy: -1.80 eV/atom
- Magnetic moment: 0.00 μB/atom

Cell and atoms, written as CIF:
```
data_LiTh4Sc3S8
_cell_length_a 7.955
_cell_length_b 7.955
_cell_length_c 7.955
_cell_angle_alpha 56.64
_cell_angle_beta 56.64
_cell_angle_gamma 56.64
_space_group_name_H-M_alt 'P 1'
_space_group_IT_number 1
loop_
_space_group_symop_operation_xyz
'x,y,z'
loop_
_atom_site_label
_atom_site_type_symbol
_atom_site_fract_x
_atom_site_fract_y
_atom_site_fract_z
Li1 Li 0.000 0.000 0.000
Th1 Th 0.000 0.000 0.500
Th2 Th 0.000 0.500 0.000
Th3 Th 0.500 0.000 0.000
Th4 Th 0.500 0.500 0.500
Sc1 Sc 0.000 0.500 0.500
Sc2 Sc 0.500 0.000 0.500
Sc3 Sc 0.500 0.500 0.000
S1 S 0.238 0.238 0.740
S2 S 0.238 0.740 0.238
S3 S 0.260 0.260 0.260
S4 S 0.260 0.762 0.762
S5 S 0.740 0.238 0.238
S6 S 0.740 0.740 0.740
S7 S 0.762 0.260 0.762
S8 S 0.762 0.762 0.260
```

# 2
Material: PrTm5
Method: DFT, PBE-GGA
State: relaxed

Results
- Formation enthalpy at 0 K: 0.0093 eV/atom
- Energy above the most stable polymorph in this dataset: 0.00 eV/f.u.
- Magnetic moment: 0.00 μB/atom

Cell and atoms, written as CIF:
```
data_PrTm5
_cell_length_a 6.661
_cell_length_b 6.661
_cell_length_c 8.373
_cell_angle_alpha 102.45
_cell_angle_beta 102.45
_cell_angle_gamma 31.37
_space_group_name_H-M_alt 'P 1'
_space_group_IT_number 1
loop_
_space_group_symop_operation_xyz
'x,y,z'
loop_
_atom_site_label
_atom_site_type_symbol
_atom_site_fract_x
_atom_site_fract_y
_atom_site_fract_z
Pr1 Pr 0.000 0.000 0.000
Tm1 Tm 0.278 0.278 0.064
Tm2 Tm 0.334 0.334 0.667
Tm3 Tm 0.615 0.615 0.721
Tm4 Tm 0.669 0.669 0.342
Tm5 Tm 0.946 0.946 0.394
```

# 3
Material: YLuCdTc
Method: DFT, PBE-GGA
State: relaxed

Results
- Formation enthalpy at 0 K: -0.1135 eV/atom
- Magnetic moment: 0.00 μB/atom

Cell and atoms, written as CIF:
```
data_YLuCdTc
_cell_length_a 5.001
_cell_length_b 5.001
_cell_length_c 5.001
_cell_angle_alpha 60.00
_cell_angle_beta 60.00
_cell_angle_gamma 60.00
_space_group_name_H-M_alt 'P 1'
_space_group_IT_number 1
loop_
_space_group_symop_operation_xyz
'x,y,z'
loop_
_atom_site_label
_atom_site_type_symbol
_atom_site_fract_x
_atom_site_fract_y
_atom_site_fract_z
Y1 Y 0.000 0.000 0.000
Lu1 Lu 0.500 0.500 0.500
Cd1 Cd 0.750 0.750 0.750
Tc1 Tc 0.250 0.250 0.250
```

# 4
Material: Li8AsP2
Method: DFT, PBE-GGA
State: relaxed

Results
- Formation enthalpy at 0 K: -0.6421 eV/atom
- Energy above the most stable polymorph in this dataset: 0.00 eV/f.u.
- Magnetic moment: 0.00 μB/atom

Cell and atoms, written as CIF:
```
data_Li8AsP2
_cell_length_a 7.282
_cell_length_b 7.282
_cell_length_c 7.282
_cell_angle_alpha 146.93
_cell_angle_beta 129.95
_cell_angle_gamma 61.30
_space_group_name_H-M_alt 'P 1'
_space_group_IT_number 1
loop_
_space_group_symop_operation_xyz
'x,y,z'
loop_
_atom_site_label
_atom_site_type_symbol
_atom_site_fract_x
_atom_site_fract_y
_atom_site_fract_z
Li1 Li 0.114 0.341 0.773
Li2 Li 0.167 0.167 0.000
Li3 Li 0.287 0.000 0.287
Li4 Li 0.431 0.659 0.773
Li5 Li 0.569 0.341 0.227
Li6 Li 0.713 0.000 0.713
Li7 Li 0.833 0.833 0.000
Li8 Li 0.886 0.659 0.227
As1 As 0.000 0.500 0.500
P1 P 0.320 0.820 0.500
P2 P 0.680 0.180 0.500
```

# 5
Material: Tm3Mg2Co2
Method: DFT, PBE-GGA
State: relaxed

Results
- Formation enthalpy at 0 K: -0.1569 eV/atom
- Magnetic moment: 0.19 μB/atom

Cell and atoms, written as CIF:
```
data_Tm3Mg2Co2
_cell_length_a 10.908
_cell_length_b 10.908
_cell_length_c 3.831
_cell_angle_alpha 90.00
_cell_angle_beta 90.00
_cell_angle_gamma 159.98
_space_group_name_H-M_alt 'P 1'
_space_group_IT_number 1
loop_
_space_group_symop_operation_xyz
'x,y,z'
loop_
_atom_site_label
_atom_site_type_symbol
_atom_site_fract_x
_atom_site_fract_y
_atom_site_fract_z
Tm1 Tm 0.000 0.000 0.000
Tm2 Tm 0.179 0.821 0.000
Tm3 Tm 0.821 0.179 0.000
Mg1 Mg 0.410 0.590 0.500
Mg2 Mg 0.590 0.410 0.500
Co1 Co 0.277 0.723 0.500
Co2 Co 0.723 0.277 0.500
```

# 6
Material: TbHoCuSi
Method: DFT, PBE-GGA
State: relaxed

Results
- Uncorrected formation energy: -0.43 eV/atom
- Energy above the most stable polymorph in this dataset: 0.41 eV/f.u.
- Magnetic moment: 0.00 μB/atom

Cell and atoms, written as CIF:
```
data_TbHoCuSi
_cell_length_a 4.930
_cell_length_b 4.930
_cell_length_c 4.930
_cell_angle_alpha 60.00
_cell_angle_beta 60.00
_cell_angle_gamma 60.00
_space_group_name_H-M_alt 'P 1'
_space_group_IT_number 1
loop_
_space_group_symop_operation_xyz
'x,y,z'
loop_
_atom_site_label
_atom_site_type_symbol
_atom_site_fract_x
_atom_site_fract_y
_atom_site_fract_z
Tb1 Tb 0.000 0.000 0.000
Ho1 Ho 0.500 0.500 0.500
Cu1 Cu 0.750 0.750 0.750
Si1 Si 0.250 0.250 0.250
```

# 7
Material: BaYIr2
Method: DFT, PBE-GGA
State: relaxed

Results
- Formation enthalpy at 0 K: 0.1885 eV/atom
- Energy above the most stable polymorph in this dataset: 1.90 eV/f.u.
- Magnetic moment: 0.00 μB/atom

Cell and atoms, written as CIF:
```
data_BaYIr2
_cell_length_a 6.399
_cell_length_b 6.399
_cell_length_c 6.399
_cell_angle_alpha 103.91
_cell_angle_beta 103.91
_cell_angle_gamma 121.27
_space_group_name_H-M_alt 'P 1'
_space_group_IT_number 1
loop_
_space_group_symop_operation_xyz
'x,y,z'
loop_
_atom_site_label
_atom_site_type_symbol
_atom_site_fract_x
_atom_site_fract_y
_atom_site_fract_z
Ba1 Ba 0.000 0.000 0.000
Ba2 Ba 0.750 0.250 0.500
Y1 Y 0.250 0.750 0.500
Y2 Y 0.500 0.500 0.000
Ir1 Ir 0.148 0.625 0.023
Ir2 Ir 0.375 0.398 0.523
Ir3 Ir 0.602 0.125 0.977
Ir4 Ir 0.875 0.852 0.477
```

# 8
Material: BeFeRu2
Method: DFT, PBE-GGA
State: relaxed

Results
- Formation enthalpy at 0 K: 0.0904 eV/atom
- Magnetic moment: 0.62 μB/atom

Cell and atoms, written as CIF:
```
data_BeFeRu2
_cell_length_a 2.672
_cell_length_b 3.596
_cell_length_c 5.176
_cell_angle_alpha 90.00
_cell_angle_beta 100.58
_cell_angle_gamma 90.00
_space_group_name_H-M_alt 'P 1'
_space_group_IT_number 1
loop_
_space_group_symop_operation_xyz
'x,y,z'
loop_
_atom_site_label
_atom_site_type_symbol
_atom_site_fract_x
_atom_site_fract_y
_atom_site_fract_z
Be1 Be 0.000 0.000 0.000
Fe1 Fe 0.000 0.000 0.500
Ru1 Ru 0.388 0.500 0.235
Ru2 Ru 0.612 0.500 0.765
```

# 9
Material: Al3Cu2Si
Method: DFT, PBE-GGA
State: relaxed

Results
- Uncorrected formation energy: 0.26 eV/atom
- Energy above the most stable polymorph in this dataset: 1.40 eV/f.u.
- Magnetic moment: 0.00 μB/atom

Cell and atoms, written as CIF:
```
data_Al3Cu2Si
_cell_length_a 5.273
_cell_length_b 5.273
_cell_length_c 4.045
_cell_angle_alpha 90.00
_cell_angle_beta 90.00
_cell_angle_gamma 120.00
_space_group_name_H-M_alt 'P 1'
_space_group_IT_number 1
loop_
_space_group_symop_operation_xyz
'x,y,z'
loop_
_atom_site_label
_atom_site_type_symbol
_atom_site_fract_x
_atom_site_fract_y
_atom_site_fract_z
Al1 Al 0.000 0.500 0.000
Al2 Al 0.500 0.000 0.000
Al3 Al 0.500 0.500 0.000
Cu1 Cu 0.333 0.667 0.500
Cu2 Cu 0.667 0.333 0.500
Si1 Si 0.000 0.000 0.500
```

# 10
Material: TlAg2BrF2
Method: DFT, PBE-GGA
State: relaxed

Results
- Uncorrected formation energy: -0.97 eV/atom
- Magnetic moment: 0.00 μB/atom

Cell and atoms, written as CIF:
```
data_TlAg2BrF2
_cell_length_a 5.993
_cell_length_b 5.857
_cell_length_c 7.571
_cell_angle_alpha 90.00
_cell_angle_beta 92.09
_cell_angle_gamma 90.00
_space_group_name_H-M_alt 'P 1'
_space_group_IT_number 1
loop_
_space_group_symop_operation_xyz
'x,y,z'
loop_
_atom_site_label
_atom_site_type_symbol
_atom_site_fract_x
_atom_site_fract_y
_atom_site_fract_z
Tl1 Tl 0.066 0.250 0.156
Tl2 Tl 0.934 0.750 0.844
Ag1 Ag 0.469 0.002 0.757
Ag2 Ag 0.469 0.498 0.757
Ag3 Ag 0.531 0.502 0.243
Ag4 Ag 0.531 0.998 0.243
Br1 Br 0.274 0.750 0.469
Br2 Br 0.726 0.250 0.531
F1 F 0.164 0.250 0.848
F2 F 0.335 0.750 0.984
F3 F 0.665 0.250 0.016
F4 F 0.836 0.750 0.152
```

# 11
Material: NaLiTlHg2
Method: DFT, PBE-GGA
State: relaxed

Results
- Formation enthalpy at 0 K: -0.1348 eV/atom
- Energy above the most stable polymorph in this dataset: 0.00 eV/f.u.
- Magnetic moment: 0.00 μB/atom

Cell and atoms, written as CIF:
```
data_NaLiTlHg2
_cell_length_a 5.138
_cell_length_b 5.138
_cell_length_c 5.887
_cell_angle_alpha 90.00
_cell_angle_beta 90.00
_cell_angle_gamma 120.00
_space_group_name_H-M_alt 'P 1'
_space_group_IT_number 1
loop_
_space_group_symop_operation_xyz
'x,y,z'
loop_
_atom_site_label
_atom_site_type_symbol
_atom_site_fract_x
_atom_site_fract_y
_atom_site_fract_z
Na1 Na 0.000 0.000 0.000
Li1 Li 0.333 0.667 0.642
Tl1 Tl 0.667 0.333 0.354
Hg1 Hg 0.333 0.667 0.146
Hg2 Hg 0.667 0.333 0.842
```

# 12
Material: SrPbSe2
Method: DFT, PBE-GGA
State: relaxed

Results
- Uncorrected formation energy: -1.16 eV/atom
- Magnetic moment: 0.00 μB/atom

Cell and atoms, written as CIF:
```
data_SrPbSe2
_cell_length_a 7.937
_cell_length_b 7.937
_cell_length_c 7.937
_cell_angle_alpha 150.38
_cell_angle_beta 150.13
_cell_angle_gamma 42.57
_space_group_name_H-M_alt 'P 1'
_space_group_IT_number 1
loop_
_space_group_symop_operation_xyz
'x,y,z'
loop_
_atom_site_label
_atom_site_type_symbol
_atom_site_fract_x
_atom_site_fract_y
_atom_site_fract_z
Sr1 Sr 0.000 0.000 0.000
Pb1 Pb 0.248 0.748 0.500
Se1 Se 0.583 0.583 0.000
Se2 Se 0.833 0.333 0.500
```

Total energy
In order: -112.36, -27.08, -22.72, -37.84, -31.91, -20.45, -50.71, -30.38, -23.27, -38.60, -6.88, -17.00
Unit: eV per cell